Model a:
DFT (PBE) results for crystalline GeTePtO at its relaxed geometry.

Results
Space-group type ... Pca2_1 (29)

Lattice parameters (Å, degrees): 6.136 8.754 6.022 90.00 90.00 90.00
Element x y z (fractional)
Ge 0.010 0.235 0.120
Ge 0.510 0.765 0.120
Ge 0.490 0.235 0.620
Ge 0.990 0.765 0.620
O 0.467 0.054 0.467
O 0.967 0.946 0.467
O 0.033 0.054 0.967
O 0.533 0.946 0.967
Pt 0.377 0.161 0.002
Pt 0.877 0.839 0.002
Pt 0.123 0.161 0.502
Pt 0.623 0.839 0.502
Te 0.605 0.376 0.161
Te 0.105 0.624 0.161
Te 0.895 0.376 0.661
Te 0.395 0.624 0.661


Model b:
DFT (PBE) results for crystalline GeTePtO at its relaxed geometry.

Results
Space-group type ... P4/nmm (129)

Lattice parameters (Å, degrees): 3.781 3.781 12.108 90.00 90.00 90.00
Element x y z (fractional)
Ge 0.750 0.750 0.414
Ge 0.250 0.250 0.586
O 0.250 0.250 0.438
O 0.750 0.750 0.562
Pt 0.750 0.250 0.000
Pt 0.250 0.750 0.000
Te 0.250 0.250 0.161
Te 0.750 0.750 0.839


Model c:
DFT (PBE) results for crystalline GeTePtO at its relaxed geometry.

Results
Space-group type ... P4/nmm (129)

Lattice parameters (Å, degrees): 4.267 4.267 8.319 90.00 90.00 90.00
Element x y z (fractional)
Ge 0.750 0.750 0.163
Ge 0.250 0.250 0.837
O 0.750 0.250 0.500
O 0.250 0.750 0.500
Pt 0.750 0.750 0.461
Pt 0.250 0.250 0.539
Te 0.250 0.250 0.176
Te 0.750 0.750 0.824


Which of them is the most stable, and which is the least stable? model b and model c, in that order.


Model a:
DFT (PBE) results for crystalline GeTePtO at its relaxed geometry.

Results
Space-group type ... P4/nmm (129)

Lattice parameters (Å, degrees): 4.773 4.773 7.739 90.00 90.00 90.00
Element x y z (fractional)
Ge 0.750 0.750 0.160
Ge 0.250 0.250 0.840
O 0.250 0.250 0.057
O 0.750 0.750 0.943
Pt 0.250 0.250 0.343
Pt 0.750 0.750 0.657
Te 0.750 0.250 0.500
Te 0.250 0.750 0.500


Model b:
DFT (PBE) results for crystalline GeTePtO at its relaxed geometry.

Results
Space-group type ... P2_12_12_1 (19)

Lattice parameters (Å, degrees): 4.971 8.843 9.079 90.00 90.00 90.00
Element x y z (fractional)
Ge 0.176 0.211 0.106
Ge 0.824 0.711 0.394
Ge 0.324 0.789 0.606
Ge 0.676 0.289 0.894
O 0.532 0.232 0.069
O 0.468 0.732 0.431
O 0.968 0.768 0.569
O 0.032 0.268 0.931
Pt 0.225 0.722 0.027
Pt 0.775 0.222 0.473
Pt 0.275 0.278 0.527
Pt 0.725 0.778 0.973
Te 0.969 0.920 0.185
Te 0.031 0.420 0.315
Te 0.531 0.080 0.685
Te 0.469 0.580 0.815


Which of them is the most stable, and which is the least stable? model b and model a, in that order.


Model a:
DFT (PBE) results for crystalline ZnGeSO at its relaxed geometry.

Results
Space-group type ... P2_12_12_1 (19)

Lattice parameters (Å, degrees): 5.553 7.729 7.293 90.00 90.00 90.00
Element x y z (fractional)
Ge 0.268 0.705 0.157
Ge 0.732 0.205 0.343
Ge 0.232 0.295 0.657
Ge 0.768 0.795 0.843
O 0.579 0.222 0.123
O 0.421 0.722 0.377
O 0.921 0.778 0.623
O 0.079 0.278 0.877
S 0.951 0.485 0.248
S 0.049 0.985 0.252
S 0.549 0.515 0.748
S 0.451 0.015 0.752
Zn 0.277 0.123 0.036
Zn 0.723 0.623 0.464
Zn 0.223 0.877 0.536
Zn 0.777 0.377 0.964


Model b:
DFT (PBE) results for crystalline ZnGeSO at its relaxed geometry.

Results
Space-group type ... P4/nmm (129)

Lattice parameters (Å, degrees): 3.928 3.928 8.251 90.00 90.00 90.00
Element x y z (fractional)
Ge 0.750 0.750 0.158
Ge 0.250 0.250 0.842
O 0.750 0.250 0.500
O 0.250 0.750 0.500
S 0.250 0.250 0.135
S 0.750 0.750 0.865
Zn 0.250 0.250 0.444
Zn 0.750 0.750 0.556


Which of them is the most stable, and which is the least stable? model a and model b, in that order.